(1)
DFT (PBE-GGA) results for crystalline DyCuAg2 at its relaxed geometry.

CIF file:
```
data_DyCuAg2
_chemical_formula_sum 'Dy2 Cu2 Ag4'
_cell_length_a 5.322
_cell_length_b 5.322
_cell_length_c 7.764
_cell_angle_alpha 90.00
_cell_angle_beta 90.00
_cell_angle_gamma 135.16
_space_group_name_H-M_alt 'P 1'
_space_group_IT_number 1
loop_
_space_group_symop_operation_xyz
'x,y,z'
loop_
_atom_site_label
_atom_site_type_symbol
_atom_site_fract_x
_atom_site_fract_y
_atom_site_fract_z
_atom_site_occupancy
Dy1 Dy 0.062 0.938 0.750 1
Dy2 Dy 0.938 0.062 0.250 1
Cu1 Cu 0.229 0.771 0.250 1
Cu2 Cu 0.771 0.229 0.750 1
Ag1 Ag 0.359 0.641 0.555 1
Ag2 Ag 0.359 0.641 0.945 1
Ag3 Ag 0.641 0.359 0.055 1
Ag4 Ag 0.641 0.359 0.445 1
```

Results
**Energy of formation**: -0.242 eV per atom
**Distance to the lowest polymorph of the same formula**: 0 meV per atom
**SG**: Cmcm, No. 63
**E_tot**: -3.843 eV per atom

(2)
DFT (PBE-GGA) results for crystalline CaRhSe2 at its relaxed geometry.

CIF file:
```
data_CaRhSe2
_chemical_formula_sum 'Ca1 Rh1 Se2'
_cell_length_a 4.841
_cell_length_b 4.841
_cell_length_c 4.841
_cell_angle_alpha 60.00
_cell_angle_beta 60.00
_cell_angle_gamma 60.00
_space_group_name_H-M_alt 'P 1'
_space_group_IT_number 1
loop_
_space_group_symop_operation_xyz
'x,y,z'
loop_
_atom_site_label
_atom_site_type_symbol
_atom_site_fract_x
_atom_site_fract_y
_atom_site_fract_z
_atom_site_occupancy
Ca1 Ca 0.000 0.000 0.000 1
Rh1 Rh 0.250 0.250 0.250 1
Se1 Se 0.500 0.500 0.500 1
Se2 Se 0.750 0.750 0.750 1
```

Results
**Distance to the lowest polymorph of the same formula**: 755 meV per atom
**SG**: F-43m, No. 216
**Uncorrected formation energy**: -157 meV/atom
**E_tot**: -4.237 eV per atom